Entry 1:
PBE TbCe2N, optimized geometry; space-group type = R-3m (166); E_tot = -0.2506 hartree per atom; size of the total moment = 1.05 μB per formula unit; ΔE_f (raw) = -0.614 eV/atom; relative energy among the computed polymorphs = 0.0000 eV per atom
1.0
3.502 0.000 0.000
-1.751 3.033 0.000
0.000 0.000 27.805
Tb Ce N
3 6 3
Direct
0.000 0.000 0.000
0.333 0.667 0.667
0.667 0.333 0.333
0.000 0.000 0.217
0.000 0.000 0.783
0.333 0.667 0.449
0.333 0.667 0.884
0.667 0.333 0.116
0.667 0.333 0.551
0.000 0.000 0.500
0.333 0.667 0.167
0.667 0.333 0.833

Entry 2:
PBE Tb2Ce3N4, optimized geometry; space-group type = C2/m (12); E_tot = -0.2961 hartree per atom; size of the total moment = 1.15 μB per formula unit; ΔE_f (raw) = -1.350 eV/atom
1.0
5.954 -1.771 0.000
5.954 1.771 0.000
-4.489 0.000 7.589
Tb Ce N
2 3 4
Direct
0.108 0.108 0.389
0.892 0.892 0.611
0.296 0.296 0.193
0.500 0.500 0.000
0.704 0.704 0.807
0.100 0.100 0.899
0.298 0.298 0.692
0.702 0.702 0.308
0.900 0.900 0.101

Entry 3:
PBE Tb4CeN4, optimized geometry; space-group type = I-42m (121); E_tot = -0.2654 hartree per atom; size of the total moment = 3.10 μB per formula unit; ΔE_f (raw) = -0.804 eV/atom; relative energy among the computed polymorphs = 0.6047 eV per atom
1.0
-2.855 2.855 5.470
2.855 -2.855 5.470
2.855 2.855 -5.470
Tb Ce N
4 1 4
Direct
0.000 0.500 0.500
0.218 0.218 0.000
0.500 0.000 0.500
0.782 0.782 0.000
0.500 0.500 0.000
0.138 0.618 0.000
0.382 0.382 0.520
0.618 0.138 0.000
0.862 0.862 0.480